Entry 1:
Entry from Alexandria via LeMat-Bulk: a relaxed structure of Co2Cu2Au (GGA-PBE).

```
10
Lattice="7.0641 0.0000 0.0000 0.0000 7.0641 0.0000 0.0000 0.0000 2.6529" Properties=species:S:1:pos:R:3 pbc="T T T"
Co 4.3312 0.7992 0.0000
Co 0.7992 2.7329 0.0000
Co 6.2650 4.3312 0.0000
Co 2.7329 6.2650 0.0000
Cu 2.2618 1.2703 1.3265
Au 0.0000 0.0000 0.0000
Au 3.5321 3.5321 0.0000
Cu 5.7938 2.2618 1.3265
Cu 1.2703 4.8023 1.3265
Cu 4.8023 5.7938 1.3265
```

Properties
formation enthalpy at 0 K	0.289	eV per atom
mass density	11086	kg/m³
E above lowest polymorph	0.000	eV per atom
symmetry	P4/mbm (127)

---

Entry 2:
Entry from Alexandria via LeMat-Bulk: a relaxed structure of Li3Ag4Sn2Sb2 (GGA-PBE).

```
11
Lattice="4.6531 0.0000 0.0000 -2.3265 4.0297 0.0000 0.0000 0.0000 13.0560" Properties=species:S:1:pos:R:3 pbc="T T T"
Ag 0.0000 2.6865 11.8727
Li 0.0000 0.0000 0.0000
Sn 0.0000 2.6865 7.4719
Sb 0.0000 2.6865 1.8879
Ag 0.0000 2.6865 4.6269
Li 0.0000 0.0000 9.8231
Ag 2.3265 1.3432 8.4291
Li 0.0000 0.0000 3.2329
Ag 2.3265 1.3432 1.1833
Sb 2.3265 1.3432 11.1681
Sn 2.3265 1.3432 5.5841
```

Properties
mass density	6330	kg/m³
symmetry	P-3m1 (164)
E_form (uncorrected)	-0.218	eV/atom

---

Entry 3:
Entry from Alexandria via LeMat-Bulk: a relaxed structure of KFeAs2 (GGA-PBE).

```
8
Lattice="5.6513 0.0000 0.0000 0.0000 5.6513 0.0000 2.8256 2.8256 6.8930" Properties=species:S:1:pos:R:3 pbc="T T T"
As 5.6531 4.2385 1.7233
K 2.8256 5.6513 3.4465
Fe 5.6513 2.8256 3.4465
As 7.0641 2.8238 5.1698
Fe 0.0000 0.0000 0.0000
As 4.2385 2.8275 5.1698
K 2.8256 2.8256 0.0000
As 5.6494 1.4128 1.7233
```

Properties
formation enthalpy at 0 K	-0.100	eV per atom
mass density	3693	kg/m³
E above lowest polymorph	0.045	eV per atom
symmetry	I4_1/amd (141)

---

Entry 4:
Entry from Alexandria via LeMat-Bulk: a relaxed structure of YEr3Tl4S8 (GGA-PBE).

```
16
Lattice="-3.8836 -2.6627 6.4804 7.5396 0.1906 4.5967 -2.2856 6.8255 -3.5162" Properties=species:S:1:pos:R:3 pbc="T T T"
S -1.9093 1.6551 4.4868
Y 3.7698 0.0953 2.2983
Er 0.6852 2.1767 3.7805
S 3.2797 2.6984 3.0742
Tl -1.9418 -1.3313 3.2402
S 0.0272 3.0035 1.2503
S 1.1532 -0.4113 3.0153
Tl -1.1428 3.4128 -1.7581
S 2.1451 6.0865 1.3287
Tl 0.0000 0.0000 0.0000
Tl -3.0846 2.0814 1.4821
S -0.7747 -1.7331 6.2322
S 1.3433 1.3500 6.3106
Er 1.8280 -1.2360 5.5385
Er 2.6270 3.5080 0.5403
S 0.2173 4.7648 4.5456
```

Properties
mass density	6611	kg/m³
symmetry	R-3m (166)
E_form (uncorrected)	-1.491	eV/atom

---

Entry 5:
Entry from Alexandria via LeMat-Bulk: a relaxed structure of LiPuMgRu (GGA-PBE).

```
4
Lattice="-3.1164 -0.5958 -3.4919 -1.0851 -4.3475 -1.4772 -4.2583 -1.8105 0.9219" Properties=species:S:1:pos:R:3 pbc="T T T"
Ru -6.3449 -5.0654 -3.0355
Mg 0.0000 0.0000 0.0000
Pu -4.2299 -3.3769 -2.0236
Li -2.1150 -1.6885 -1.0118
```

Properties
formation enthalpy at 0 K	0.057	eV per atom
mass density	8414	kg/m³
symmetry	F-43m (216)

---

Entry 6:
Entry from Alexandria via LeMat-Bulk: a relaxed structure of SnPbO3 (GGA-PBE).

```
20
Lattice="0.0000 5.3793 5.3793 5.3793 0.0000 5.3793 5.3793 5.3793 0.0000" Properties=species:S:1:pos:R:3 pbc="T T T"
O 5.3793 7.5957 5.3793
Pb 1.3448 4.0345 4.0345
Pb 4.0345 1.3448 4.0345
O 5.3793 5.3793 7.5957
O 8.0690 10.2854 8.0690
O 3.1630 5.3793 5.3793
O 8.0690 8.0690 5.8527
O 5.3793 3.1630 5.3793
O 10.2854 8.0690 8.0690
Sn 4.0345 6.7242 4.0345
Pb 4.0345 4.0345 1.3448
Sn 6.7242 6.7242 6.7242
Pb 1.3448 1.3448 1.3448
Sn 6.7242 4.0345 4.0345
O 5.3793 5.3793 3.1630
O 8.0690 8.0690 10.2854
O 7.5957 5.3793 5.3793
O 8.0690 5.8527 8.0690
O 5.8527 8.0690 8.0690
Sn 4.0345 4.0345 6.7242
```

Properties
mass density	7977	kg/m³
symmetry	Fd-3m (227)
E_form (uncorrected)	-1.304	eV/atom

---

Entry 7:
Entry from Alexandria via LeMat-Bulk: a relaxed structure of Sm7Y12Er (GGA-PBE).

```
20
Lattice="6.5410 0.0000 1.8927 -3.6761 9.3207 4.5383 -0.8112 0.0000 10.9694" Properties=species:S:1:pos:R:3 pbc="T T T"
Er 0.0000 0.0000 0.0000
Sm -2.4076 7.7957 13.6140
Y 2.9834 4.4485 4.2889
Y 2.0440 1.9926 8.2077
Sm -2.9630 8.0073 7.3673
Y 1.1152 7.3323 13.5384
Sm 3.2705 0.0000 0.9464
Y -0.9296 4.8722 13.1116
Sm 5.0168 1.3134 10.0331
Y -0.3916 4.2467 7.7865
Sm 4.4614 1.5250 3.7864
Y -2.5613 8.6953 10.5843
Y -1.7782 5.3397 5.0850
Y 0.9386 1.9884 3.8620
Sm 0.6361 2.8385 11.2610
Y 2.4453 5.0740 9.6139
Y 3.8319 3.9811 12.3155
Y 0.0097 7.3281 9.1927
Sm 1.4176 6.4822 6.1395
Y 4.6150 0.6255 6.8162
```

Properties
formation enthalpy at 0 K	0.324	eV per atom
mass density	5559	kg/m³
symmetry	R-3 (148)

---

Entry 8:
Entry from Alexandria via LeMat-Bulk: a relaxed structure of Mg4N2F (GGA-PBE).

```
14
Lattice="5.7293 -0.1566 3.1827 -1.9501 5.3895 3.1827 0.0262 0.0363 6.4120" Properties=species:S:1:pos:R:3 pbc="T T T"
Mg 1.1324 1.2018 4.9748
N 0.0000 0.0000 0.0000
F 4.3163 2.8959 9.5830
N 2.8646 -0.0783 1.5913
Mg -0.0333 4.3428 9.5928
Mg 2.6613 4.0512 4.9514
N 1.9027 2.6346 6.3887
Mg 0.2802 4.0887 6.3868
Mg 2.6730 4.0674 7.8026
N 2.8777 -0.0601 4.7973
F -0.5109 2.3733 3.1943
Mg 3.5252 1.1804 6.3906
Mg 3.8387 0.9264 3.1846
Mg 1.1442 1.2180 7.8259
```

Properties
mass density	2460	kg/m³
symmetry	Imma (74)
E_form (uncorrected)	-1.150	eV/atom

---

Entry 9:
Entry from Alexandria via LeMat-Bulk: a relaxed structure of AcVBi2 (GGA-PBE).

```
4
Lattice="-3.1540 -2.4625 2.1879 1.5658 -4.2286 -2.5021 3.3797 -0.9792 3.7699" Properties=species:S:1:pos:R:3 pbc="T T T"
V 0.8958 -3.8352 1.7279
Ac -1.5770 -1.2312 1.0940
Bi 0.7829 -2.1143 -1.2511
Bi 1.6899 -0.4896 1.8849
```

Properties
formation enthalpy at 0 K	-0.008	eV per atom
mass density	9528	kg/m³
E above lowest polymorph	0.000	eV per atom
symmetry	P4/mmm (123)

---

Entry 10:
Entry from Alexandria via LeMat-Bulk: a relaxed structure of CaMgGaIr (GGA-PBE).

```
4
Lattice="4.6733 0.0000 0.0000 2.3367 4.0472 0.0000 2.3367 1.3491 3.8158" Properties=species:S:1:pos:R:3 pbc="T T T"
Ca 2.3367 1.3491 0.9539
Ga 0.0000 0.0000 0.0000
Mg 4.6733 2.6982 1.9079
Ir 7.0100 4.0472 2.8618
```

Properties
formation enthalpy at 0 K	-0.306	eV per atom
mass density	7508	kg/m³
symmetry	F-43m (216)

---

Entry 11:
Entry from Alexandria via LeMat-Bulk: a relaxed structure of HgP2Pd2 (GGA-PBE).

```
5
Lattice="3.5306 0.0000 0.0000 0.0000 3.5306 0.0000 1.7653 1.7653 6.7360" Properties=species:S:1:pos:R:3 pbc="T T T"
P 3.5306 1.7653 3.3680
Pd 1.7653 1.7653 1.4750
P 1.7653 3.5306 3.3680
Pd 3.5306 3.5306 5.2610
Hg 0.0000 0.0000 0.0000
```

Properties
formation enthalpy at 0 K	-0.013	eV per atom
mass density	9402	kg/m³
E above lowest polymorph	0.109	eV per atom
symmetry	I4/mmm (139)

---

Entry 12:
Entry from Alexandria via LeMat-Bulk: a relaxed structure of La2HoAl (GGA-PBE).

```
4
Lattice="3.6834 0.0003 0.0002 1.8420 3.1898 0.0002 1.8420 1.0635 10.8889" Properties=species:S:1:pos:R:3 pbc="T T T"
La 1.8421 1.0636 2.4205
Ho 3.6840 2.1270 5.4406
Al 3.6833 2.1266 0.0037
La 1.8416 1.0632 8.4691
```

Properties
formation enthalpy at 0 K	0.005	eV per atom
mass density	6097	kg/m³
E above lowest polymorph	0.188	eV per atom
symmetry	R3m (160)

---

Entry 13:
Entry from Alexandria via LeMat-Bulk: a relaxed structure of SrScCuTe3 (GGA-PBE).

```
12
Lattice="4.2591 0.0000 0.0000 0.0000 8.8262 -0.0679 0.0000 -2.3976 9.3507" Properties=species:S:1:pos:R:3 pbc="T T T"
Sc 1.0648 5.5730 1.4653
Te 1.0648 -1.1529 8.0826
Cu 1.0648 -0.7378 5.4158
Sr 1.0648 1.0945 2.3451
Sr 3.1943 5.3341 6.9377
Te 1.0648 2.9033 7.8423
Te 1.0648 5.5934 4.3588
Te 3.1943 7.5816 1.2003
Te 3.1943 3.5253 1.4405
Te 3.1943 0.8352 4.9240
Cu 3.1943 7.1665 3.8670
Sc 3.1943 0.8556 7.8175
```

Properties
mass density	5480	kg/m³
symmetry	P2_1/m (11)
E_form (uncorrected)	-1.116	eV/atom

---

Entry 14:
Entry from Alexandria via LeMat-Bulk: a relaxed structure of Y2Co2Ag (GGA-PBE).

```
5
Lattice="-1.2101 -3.2268 0.0446 0.8448 -0.3628 -3.3217 7.5743 -4.6722 0.6485" Properties=species:S:1:pos:R:3 pbc="T T T"
Co 3.0908 -4.8469 -0.4727
Y 5.5824 -5.7958 -1.5235
Co 4.1182 -3.4149 -2.1558
Y 1.6266 -2.4659 -1.1051
Ag 0.0000 0.0000 0.0000
```

Properties
formation enthalpy at 0 K	0.007	eV per atom
mass density	6572	kg/m³
E above lowest polymorph	0.236	eV per atom
symmetry	I4/mmm (139)

---

Entry 15:
Entry from Alexandria via LeMat-Bulk: a relaxed structure of CsRbTc3 (GGA-PBE).

```
5
Lattice="5.3647 0.0000 0.0000 0.0000 5.3647 0.0000 0.0000 0.0000 5.3647" Properties=species:S:1:pos:R:3 pbc="T T T"
Tc 2.6823 0.0000 0.0000
Tc 0.0000 0.0000 2.6823
Tc 0.0000 2.6823 0.0000
Cs 2.6823 2.6823 2.6823
Rb 0.0000 0.0000 0.0000
```

Properties
formation enthalpy at 0 K	3.203	eV per atom
mass density	5511	kg/m³
E above lowest polymorph	0.231	eV per atom
symmetry	Pm-3m (221)

---

Entry 16:
Entry from Alexandria via LeMat-Bulk: a relaxed structure of Te2AsP (GGA-PBE).

```
4
Lattice="2.2656 0.0000 8.7921 -1.1328 1.9621 8.7921 -1.1328 -1.9621 8.7921" Properties=species:S:1:pos:R:3 pbc="T T T"
Te 0.0000 0.0000 2.5667
P 0.0000 0.0000 0.0000
Te 0.0000 0.0000 23.8097
As 0.0000 0.0000 13.1882
```

Properties
mass density	5114	kg/m³
E above lowest polymorph	0.380	eV per atom
symmetry	R-3m (166)
E_form (uncorrected)	0.516	eV/atom

---

Entry 17:
Entry from Alexandria via LeMat-Bulk: a relaxed structure of KIn2Tc (GGA-PBE).

```
4
Lattice="-0.0601 -2.4872 1.9768 2.6058 -1.1700 -1.3923 5.4475 4.7796 6.1792" Properties=species:S:1:pos:R:3 pbc="T T T"
K 2.6347 -0.6337 1.8371
In 3.0239 2.6532 3.4301
In 5.1473 4.5162 5.8387
Tc 5.3585 1.7561 4.9267
```

Properties
formation enthalpy at 0 K	0.300	eV per atom
mass density	6332	kg/m³
E above lowest polymorph	0.000	eV per atom
symmetry	P4/mmm (123)

---

Entry 18:
Entry from Alexandria via LeMat-Bulk: a relaxed structure of Na3CuCl4 (GGA-PBE).

```
16
Lattice="-3.8783 -4.2373 -3.6204 5.6355 -4.8182 -0.3977 -2.7014 -3.7619 7.2968" Properties=species:S:1:pos:R:3 pbc="T T T"
Cu 1.3176 -8.0103 1.4763
Na -0.5595 -2.6276 3.5564
Na 1.7200 -6.0920 5.2165
Cl 4.4801 -4.6625 -0.7452
Cl -2.9890 -5.0890 1.3879
Cl -0.4919 -8.6080 2.8653
Cu 0.9547 -0.8876 -0.1041
Cl 0.7541 -2.8610 1.1713
Na 2.8331 -6.2690 -2.1832
Na 3.0936 -4.1793 1.5065
Na -0.7912 -4.6858 -0.1064
Cl 0.7574 -6.8681 -0.5094
Cl 2.6212 -6.4866 2.7444
Cl -1.5179 -3.6885 -2.4636
Cl -0.6979 -4.8830 5.0934
Na -2.1191 -6.5349 3.4804
```

Properties
mass density	2091	kg/m³
E above lowest polymorph	0.000	eV per atom
symmetry	Pmn2_1 (31)
E_form (uncorrected)	-1.399	eV/atom

---

Entry 19:
Entry from Alexandria via LeMat-Bulk: a relaxed structure of PrTm2Ag (GGA-PBE).

```
4
Lattice="3.5868 0.0000 0.0000 0.0000 3.5868 0.0000 0.0000 0.0000 8.7891" Properties=species:S:1:pos:R:3 pbc="T T T"
Ag 1.7934 1.7934 0.0000
Pr 1.7934 1.7934 4.3946
Tm 0.0000 0.0000 1.7932
Tm 0.0000 0.0000 6.9960
```

Properties
formation enthalpy at 0 K	-0.139	eV per atom
mass density	8615	kg/m³
E above lowest polymorph	0.000	eV per atom
symmetry	P4/mmm (123)

---

Entry 20:
Entry from Alexandria via LeMat-Bulk: a relaxed structure of GaSiHgOsRh (GGA-PBE).

```
10
Lattice="-8.9431 2.3091 -4.9968 -0.6585 -2.9412 -0.1806 -1.6867 0.0723 4.9738" Properties=species:S:1:pos:R:3 pbc="T T T"
Ga -5.1726 -0.3130 -1.2819
Os -4.4690 -0.7134 2.6740
Si -2.2697 0.3566 2.4693
Rh -9.1655 2.2778 -3.6767
Ga -5.6867 1.1937 1.2953
Rh -10.3381 0.8434 -1.2801
Hg -7.6188 0.2888 -2.1632
Si -1.7557 -1.1501 -0.1079
Hg -8.1329 1.7955 0.4140
Os -3.2964 0.7210 0.2774
```

Properties
mass density	11979	kg/m³
E above lowest polymorph	0.043	eV per atom
symmetry	Cm (8)
E_form (uncorrected)	-0.189	eV/atom